# CaCrPt2

A relaxed CaCrPt2 crystal (GGA-PBE, Alexandria). Values from VASP.

**N(E_F)**: 0.9049 states/eV/atom
**ΔE to the lowest computed polymorph**: 130 meV per atom
**Space group**: No. 8

```
&SYSTEM
  ibrav = 0, nat = 4, ntyp = 3
/
ATOMIC_SPECIES
Cr 52.00 Cr.upf
Ca 40.08 Ca.upf
Pt 195.08 Pt.upf
ATOMIC_POSITIONS angstrom
Cr 2.812 0.824 0.899
Ca 5.218 1.530 2.735
Pt 0.118 0.035 0.246
Pt 7.795 2.286 3.584
CELL_PARAMETERS angstrom
5.272 0.011 0.065
4.443 2.838 0.065
0.914 0.268 4.846
```